DFT (PBE) results for a geometry-optimized Tb6Mg3Tc structure.

The final energy comes out at -4.326 eV/atom. Its energy relative to the elements is -0.033 eV per atom. The calculation puts the density of states at the Fermi level at 18.747 states/eV/cell.

It has space group P2_1/m (No. 11), with a = 9.3316 Å, b = 5.4053 Å, c = 11.3644 Å, α = 90.00°, β = 107.78° and γ = 90.00°. Symmetry generates all atoms from Tb at (0.0428, 0.2500, 0.4192), Tb at (0.2036, 0.7500, 0.1690), Tb at (0.2936, 0.2500, 0.0090), Tb at (0.3434, 0.7500, 0.8273), Tb at (0.3766, 0.2500, 0.3420), Tb at (0.3989, 0.2500, 0.6504), Mg at (0.0103, 0.7500, 0.8782), Mg at (0.0848, 0.2500, 0.7236), Mg at (0.2665, 0.7500, 0.4758) and Tc at (0.4680, 0.7500, 0.0961).